First-principles (PBEsol) data for LaHg4Cl after structural relaxation, as listed in Alexandria.

Unit cell a=5.9576 b=5.9576 c=5.9576 alpha=60.00 beta=60.00 gamma=60.00
With the nearest neighbours (Å) after each atom.
Element x y z (fractional)
Cl 0.0000 0.0000 0.0000  12 Hg 3.49, 4 La 3.65
Hg 0.3745 0.3745 0.3745  6 Hg 2.97-2.99
Hg 0.3745 0.3745 0.8765  6 Hg 2.97-2.99
Hg 0.8765 0.3745 0.3745  6 Hg 2.97-2.99
Hg 0.3745 0.8765 0.3745  6 Hg 2.97-2.99
La 0.7500 0.7500 0.7500  12 Hg 3.49, 4 Cl 3.65

## Properties
V (Å³/cell): 150
Formation energy from raw total energies (eV per formula unit): -2.25
Size of the total moment (Bohr magnetons per cell): 0.000
E_tot (eV/cell): -11.87